Entry 1:
CrInTcN after structural relaxation. Source: the Alexandria database, functional PBE.

a = 3.952 Å, b = 2.964 Å, c = 10.616 Å
α = 90.00°, β = 90.00°, γ = 90.00°
Space group Amm2 (No. 38)
One atom of each set of equivalent atoms:
Cr  0.000  0.000  0.000 [2 per cell]
In  0.500  0.000  0.670 [2 per cell]
Tc  0.500  0.000  0.401 [2 per cell]
N  0.000  0.000  0.393 [2 per cell]

Computed properties:
raw total energy: -62.10 eV/cell
crystal system: orthorhombic
theoretical density: 7446 kg/m³



Entry 2:
CrInTcN after structural relaxation. Source: the Alexandria database, functional PBE.

a = 5.345 Å, b = 3.081 Å, c = 6.846 Å
α = 90.00°, β = 104.99°, γ = 90.00°
Space group Cm (No. 8)
One atom of each set of equivalent atoms:
Cr  0.000  0.000  0.000 [2 per cell]
In  0.047  0.500  0.644 [2 per cell]
Tc  0.264  0.500  0.295 [2 per cell]
N  0.365  0.000  0.097 [2 per cell]

Computed properties:
raw total energy: -62.11 eV/cell
crystal system: monoclinic
theoretical density: 8502 kg/m³



Entry 3:
CrInTcN after structural relaxation. Source: the Alexandria database, functional PBE.

a = 3.773 Å, b = 3.967 Å, c = 4.320 Å
α = 90.00°, β = 90.00°, γ = 90.00°
Space group Pmmm (No. 47)
One atom of each set of equivalent atoms:
Cr  0.000  0.000  0.000 [1 per cell]
In  0.000  0.500  0.500 [1 per cell]
Tc  0.500  0.500  0.000 [1 per cell]
N  0.500  0.000  0.000 [1 per cell]

Computed properties:
raw total energy: -30.80 eV/cell
crystal system: orthorhombic
theoretical density: 7160 kg/m³



Entry 4:
CrInTcN after structural relaxation. Source: the Alexandria database, functional PBE.

a = 3.033 Å, b = 3.332 Å, c = 11.957 Å
α = 90.00°, β = 90.00°, γ = 90.00°
Space group Imm2 (No. 44)
One atom of each set of equivalent atoms:
Cr  0.000  0.000  0.000 [2 per cell]
In  0.000  0.000  0.663 [2 per cell]
Tc  0.000  0.000  0.329 [2 per cell]
N  0.000  0.500  0.409 [2 per cell]

Computed properties:
raw total energy: -60.92 eV/cell
crystal system: orthorhombic
theoretical density: 7665 kg/m³



Entry 5:
CrInTcN after structural relaxation. Source: the Alexandria database, functional PBE.

a = 4.494 Å, b = 2.917 Å, c = 4.738 Å
α = 90.00°, β = 105.33°, γ = 90.00°
Space group Pm (No. 6)
One atom of each set of equivalent atoms:
Cr  0.000  0.000  0.000 [1 per cell]
In  0.371  0.000  0.582 [1 per cell]
Tc  0.554  0.500  0.116 [1 per cell]
N  0.845  0.000  0.330 [1 per cell]

Computed properties:
raw total energy: -29.91 eV/cell
crystal system: monoclinic
theoretical density: 7730 kg/m³



Entry 6:
CrInTcN after structural relaxation. Source: the Alexandria database, functional PBE.

a = 4.307 Å, b = 2.904 Å, c = 5.075 Å
α = 90.00°, β = 103.32°, γ = 90.00°
Space group Pm (No. 6)
One atom of each set of equivalent atoms:
Cr  0.000  0.000  0.000 [1 per cell]
In  0.246  0.500  0.617 [1 per cell]
Tc  0.493  0.000  0.230 [1 per cell]
N  0.759  0.500  0.096 [1 per cell]

Computed properties:
raw total energy: -30.62 eV/cell
crystal system: monoclinic
theoretical density: 7494 kg/m³



Please write out number 2 again, unchanged.
CrInTcN after structural relaxation. Source: the Alexandria database, functional PBE.

a = 5.345 Å, b = 3.081 Å, c = 6.846 Å
α = 90.00°, β = 104.99°, γ = 90.00°
Space group Cm (No. 8)
One atom of each set of equivalent atoms:
Cr  0.000  0.000  0.000 [2 per cell]
In  0.047  0.500  0.644 [2 per cell]
Tc  0.264  0.500  0.295 [2 per cell]
N  0.365  0.000  0.097 [2 per cell]

Computed properties:
raw total energy: -62.11 eV/cell
crystal system: monoclinic
theoretical density: 8502 kg/m³